(1)
Entry from the Alexandria database: a geometry-optimized Ba2CdP structure (PBE).

Cell lengths 5.745, 5.745, 5.745 Å; angles 60.00, 60.00, 60.00 degrees
Fractional positions:
Ba (0.250, 0.250, 0.250)
Ba (0.750, 0.750, 0.750)
P (0.000, 0.000, 0.000)
Cd (0.500, 0.500, 0.500)

Properties
formation energy	-2.02	eV/f.u.
mass density	5.2	g/cm3
distance to the lowest polymorph of the same formula	137.0	meV/atom
final energy	-12.19	eV for the cell shown
D(E_F)	4.29	states/eV per cell
space-group type	No. 225

(2)
Entry from the Alexandria database: a geometry-optimized PbAu2Br structure (PBE).

Cell lengths 4.103, 4.100, 5.907 Å; angles 90.00, 90.00, 90.00 degrees
Fractional positions:
Au (0.000, 0.000, 0.990)
Au (0.000, 0.000, 0.510)
Br (0.500, 0.500, 0.250)
Pb (0.500, 0.500, 0.750)

Properties
mass density	11.4	g/cm3
distance to the lowest polymorph of the same formula	192.2	meV/atom
final energy	-11.65	eV for the cell shown
D(E_F)	1.52	states/eV per cell
energy relative to the elements, uncorrected	72	meV per atom
space-group type	No. 123

(3)
Entry from the Alexandria database: a geometry-optimized Sr3InO structure (PBE).

Cell lengths 7.478, 7.140, 7.027 Å; angles 90.00, 120.27, 90.00 degrees
Fractional positions:
Sr (0.758, 0.005, 0.957)
Sr (0.242, 0.505, 0.043)
Sr (0.242, 0.995, 0.043)
Sr (0.803, 0.750, 0.513)
Sr (0.758, 0.495, 0.957)
Sr (0.197, 0.250, 0.487)
O (0.042, 0.250, 0.096)
O (0.958, 0.750, 0.904)
In (0.701, 0.250, 0.433)
In (0.299, 0.750, 0.567)

Properties
mass density	4.0	g/cm3
final energy	-37.43	eV for the cell shown
D(E_F)	6.68	states/eV per cell
energy relative to the elements, uncorrected	-1195	meV per atom
space-group type	No. 11

(4)
Entry from the Alexandria database: a geometry-optimized ZrInTc2 structure (PBE).

Cell lengths 9.790, 9.790, 9.790 Å; angles 17.29, 17.29, 17.29 degrees
Fractional positions:
Zr (0.504, 0.504, 0.504)
Tc (0.259, 0.259, 0.259)
Tc (0.994, 0.994, 0.994)
In (0.743, 0.743, 0.743)

Properties
formation energy	0.72	eV/f.u.
mass density	9.2	g/cm3
distance to the lowest polymorph of the same formula	287.0	meV/atom
final energy	-31.30	eV for the cell shown
D(E_F)	4.15	states/eV per cell
space-group type	No. 160

(5)
Entry from the Alexandria database: a geometry-optimized Zr2FeN structure (PBE).

Cell lengths 6.132, 6.132, 5.660 Å; angles 57.20, 57.20, 90.00 degrees
Each line ends with the local moment (μB).
Fractional positions:
N (0.500, 0.500, 0.000)  0.03
N (0.250, 0.750, 0.500)  0.03
Zr (0.565, 0.125, 0.250)  -0.26
Zr (0.875, 0.815, 0.750)  -0.23
Zr (0.375, 0.435, 0.750)  -0.25
Zr (0.185, 0.625, 0.250)  -0.24
Fe (0.750, 0.250, 0.500)  1.63
Fe (0.000, 0.000, 0.000)  1.63

Properties
mass density	6.1	g/cm3
final energy	-70.19	eV for the cell shown
D(E_F)	3.66	states/eV per cell
energy relative to the elements, uncorrected	-303	meV per atom
space-group type	No. 122

(6)
Entry from the Alexandria database: a geometry-optimized Li3In8Ga2 structure (PBE).

Cell lengths 6.052, 6.052, 11.008 Å; angles 74.04, 74.04, 60.00 degrees
Fractional positions:
Li (0.190, 0.190, 0.429)
Li (0.000, 0.000, 0.000)
Li (0.810, 0.810, 0.571)
In (0.280, 0.280, 0.659)
In (0.280, 0.781, 0.659)
In (0.781, 0.280, 0.659)
In (0.718, 0.718, 0.846)
In (0.219, 0.720, 0.341)
In (0.282, 0.282, 0.154)
In (0.720, 0.219, 0.341)
In (0.720, 0.720, 0.341)
Ga (0.630, 0.630, 0.111)
Ga (0.370, 0.370, 0.889)

Properties
formation energy	0.26	eV/f.u.
mass density	5.4	g/cm3
final energy	-33.44	eV for the cell shown
D(E_F)	5.20	states/eV per cell
space-group type	No. 166

(7)
Entry from the Alexandria database: a geometry-optimized TaTi3Ni structure (PBE).

Cell lengths 4.493, 4.493, 4.493 Å; angles 90.00, 90.00, 90.00 degrees
Fractional positions:
Ti (0.500, 0.000, 0.000)
Ti (0.000, 0.500, 0.000)
Ti (0.000, 0.000, 0.500)
Ta (0.500, 0.500, 0.500)
Ni (0.000, 0.000, 0.000)

Properties
formation energy	2.58	eV/f.u.
mass density	7.0	g/cm3
distance to the lowest polymorph of the same formula	366.3	meV/atom
final energy	-38.74	eV for the cell shown
D(E_F)	10.58	states/eV per cell
space-group type	No. 221

(8)
Entry from the Alexandria database: a geometry-optimized FeCo2Si structure (PBE).

Cell lengths 4.671, 4.671, 4.671 Å; angles 146.10, 129.22, 62.46 degrees
Each line ends with the local moment (μB).
Fractional positions:
Co (0.485, 0.485, 0.000)  1.19
Co (0.015, 0.015, 0.000)  1.19
Si (0.250, 0.750, 0.500)  -0.05
Fe (0.750, 0.250, 0.500)  1.79

Properties
mass density	7.7	g/cm3
final energy	-29.01	eV for the cell shown
D(E_F)	4.32	states/eV per cell
energy relative to the elements, uncorrected	-229	meV per atom
space-group type	No. 71